# 1
Density functional theory data (PBE-GGA) for YHo2Cd5 after structural relaxation.

abc: 5.103 7.349 10.417
angles: 90.00 90.00 90.00
Element x y z (fractional)
Y 0.000 0.000 0.000
Y 0.000 0.500 0.500
Ho 0.000 0.000 0.544
Ho 0.000 0.500 0.044
Ho 0.500 0.000 0.248
Ho 0.500 0.500 0.748
Cd 0.000 0.231 0.275
Cd 0.000 0.269 0.775
Cd 0.000 0.731 0.775
Cd 0.000 0.769 0.275
Cd 0.500 0.000 0.760
Cd 0.500 0.241 0.499
Cd 0.500 0.259 0.999
Cd 0.500 0.500 0.260
Cd 0.500 0.741 0.999
Cd 0.500 0.759 0.499

Computed properties:
For the energy relative to the elements, the calculation gives -28.71 kJ per mole of atoms. For the mass density, the calculation gives 8.3 g/cm³.

***

# 2
Density functional theory data (PBE-GGA) for CuSiPdW after structural relaxation.

abc: 6.112 6.112 6.112
angles: 90.00 90.00 90.00
Element x y z (fractional)
Cu 0.000 0.000 0.000
Cu 0.000 0.500 0.500
Cu 0.500 0.000 0.500
Cu 0.500 0.500 0.000
Si 0.250 0.250 0.750
Si 0.250 0.750 0.250
Si 0.750 0.250 0.250
Si 0.750 0.750 0.750
Pd 0.000 0.000 0.500
Pd 0.000 0.500 0.000
Pd 0.500 0.000 0.000
Pd 0.500 0.500 0.500
W 0.250 0.250 0.250
W 0.250 0.750 0.750
W 0.750 0.250 0.750
W 0.750 0.750 0.250

Computed properties:
The polymorph energy (0 for the lowest one) comes out at 267 meV per atom. For the mass density, the calculation gives 11.1 g/cm³.

***

# 3
Density functional theory data (PBE-GGA) for HoReBi after structural relaxation.

abc: 6.742 6.742 6.742
angles: 90.00 90.00 90.00
Element x y z (fractional)
Ho 0.000 0.000 0.000
Ho 0.000 0.500 0.500
Ho 0.500 0.000 0.500
Ho 0.500 0.500 0.000
Re 0.000 0.000 0.500
Re 0.000 0.500 0.000
Re 0.500 0.000 0.000
Re 0.500 0.500 0.500
Bi 0.250 0.250 0.250
Bi 0.250 0.750 0.750
Bi 0.750 0.250 0.750
Bi 0.750 0.750 0.250

Computed properties:
The total energy is -6.24 eV/atom. For the mass density, the calculation gives 12.1 g/cm³.

***

# 4
Density functional theory data (PBE-GGA) for Sc2Ga3W4C3 after structural relaxation.

abc: 5.421 5.421 13.800
angles: 101.92 101.92 60.18
Element x y z (fractional)
Sc 0.039 0.877 0.609
Sc 0.123 0.961 0.891
Sc 0.877 0.039 0.109
Sc 0.961 0.123 0.391
Ga 0.087 0.363 0.752
Ga 0.363 0.087 0.252
Ga 0.466 0.534 0.250
Ga 0.534 0.466 0.750
Ga 0.637 0.913 0.748
Ga 0.913 0.637 0.248
W 0.195 0.352 0.080
W 0.296 0.481 0.420
W 0.352 0.195 0.580
W 0.481 0.296 0.920
W 0.519 0.704 0.080
W 0.648 0.805 0.420
W 0.704 0.519 0.580
W 0.805 0.648 0.920
C 0.000 0.500 0.500
C 0.166 0.668 0.000
C 0.332 0.834 0.500
C 0.500 0.000 0.000
C 0.668 0.166 0.500
C 0.834 0.332 0.000

Computed properties:
The total energy is -8.76 eV/atom. For the mass density, the calculation gives 10.4 g/cm³.

***

# 5
Density functional theory data (PBE-GGA) for RbCoCl3 after structural relaxation.

abc: 7.023 7.023 5.878
angles: 90.00 90.00 120.00
Element x y z (fractional)
Rb 0.333 0.667 0.250
Rb 0.667 0.333 0.750
Co 0.000 0.000 0.000
Co 0.000 0.000 0.500
Cl 0.159 0.317 0.750
Cl 0.159 0.841 0.750
Cl 0.317 0.159 0.250
Cl 0.683 0.841 0.750
Cl 0.841 0.159 0.250
Cl 0.841 0.683 0.250

Computed properties:
The total energy is -3.87 eV/atom. For the mass density, the calculation gives 3.3 g/cm³.

***

# 6
Density functional theory data (PBE-GGA) for AgI after structural relaxation.

abc: 4.277 4.277 7.150
angles: 90.00 90.00 120.00
Element x y z (fractional)
Ag 0.333 0.667 0.250
Ag 0.667 0.333 0.750
I 0.000 0.000 0.000
I 0.000 0.000 0.500

Computed properties:
The total energy is -2.21 eV/atom. For the mass density, the calculation gives 6.9 g/cm³.

***

# 7
Density functional theory data (PBE-GGA) for NdMg2 after structural relaxation.

abc: 9.867 6.057 5.506
angles: 90.00 90.00 90.00
Element x y z (fractional)
Nd 0.000 0.177 0.250
Nd 0.000 0.823 0.750
Nd 0.500 0.323 0.750
Nd 0.500 0.677 0.250
Mg 0.166 0.344 0.750
Mg 0.166 0.656 0.250
Mg 0.334 0.156 0.250
Mg 0.334 0.844 0.750
Mg 0.666 0.156 0.250
Mg 0.666 0.844 0.750
Mg 0.834 0.344 0.750
Mg 0.834 0.656 0.250

Computed properties:
The total energy is -2.61 eV/atom. For the mass density, the calculation gives 3.9 g/cm³.

***

# 8
Density functional theory data (PBE-GGA) for PrPuCu2As4 after structural relaxation.

abc: 3.961 3.961 9.780
angles: 90.00 90.00 90.00
Element x y z (fractional)
Pr 0.000 0.000 0.000
Pu 0.500 0.500 0.471
Cu 0.000 0.500 0.722
Cu 0.500 0.000 0.722
As 0.000 0.000 0.552
As 0.000 0.500 0.247
As 0.500 0.000 0.247
As 0.500 0.500 0.876

Computed properties:
The total energy is -6.13 eV/atom. For the mass density, the calculation gives 8.8 g/cm³.